Li3MoCl2F6: relaxed, PBE with a Hubbard U.

Lattice parameters (Å, degrees): 7.188 7.188 4.945 92.68 92.68 51.31
Atoms (fractional coordinates):
1 Li 0.000 0.000 0.000
2 Li 0.000 0.500 0.500
3 Li 0.500 0.000 0.500
4 Mo 0.500 0.500 0.500
5 Cl 0.174 0.174 0.206
6 Cl 0.826 0.826 0.794
7 F 0.234 0.683 0.254
8 F 0.317 0.766 0.746
9 F 0.358 0.358 0.621
10 F 0.642 0.642 0.379
11 F 0.683 0.234 0.254
12 F 0.766 0.317 0.746

Symmetry ... No. 12
Size of the total moment ... 0.08 μB/atom
Total DFT energy (no corrections) ... -4.58 eV per atom